{
  "formula": "BiPdAu2",
  "functional": "PBE",
  "state": "optimized geometry",
  "lattice": [[-2.0171, -0.8098, 3.0533], [-2.6390, -1.5590, -2.1569], [2.6662, -5.0845, 0.4128]],
  "species": ["Bi", "Au", "Au", "Pd"],
  "frac_coords": [[0.5000, 0.5000, 0.5000], [0.0000, 0.0000, 0.2359], [0.0000, 0.0000, 0.7641], [0.5000, 0.5000, 0.0000]],
  "e_form_ev_per_atom": -0.05,
  "spacegroup": "P4/mmm (123)",
  "magmom_total_mub_per_fu": 0.0,
  "dft_energy_ev_per_atom": -3.96
}